Entry 1:
Density functional theory data (GGA-PBE) for a geometry-optimized Ca4Hg5Pb structure.

```
Ca4Hg5Pb
1.0
3.8414 0.0000 0.0000
0.0000 3.8414 0.0000
0.0000 0.0000 18.4170
Ca Hg Pb
4 5 1
direct
0.0000 0.0000 0.1011 Ca
0.0000 0.0000 0.3033 Ca
0.0000 0.0000 0.6967 Ca
0.0000 0.0000 0.8989 Ca
0.5000 0.5000 0.0000 Hg
0.5000 0.5000 0.2021 Hg
0.5000 0.5000 0.3971 Hg
0.5000 0.5000 0.6029 Hg
0.5000 0.5000 0.7979 Hg
0.0000 0.0000 0.5000 Pb
```

Entry 2:
Density functional theory data (GGA-PBE) for a geometry-optimized Ca2HgPb structure.

```
Ca2HgPb
1.0
7.8328 0.0000 0.0000
0.0000 7.8328 0.0000
0.0000 0.0000 7.8328
Ca Hg Pb
8 4 4
direct
0.0000 0.0000 0.0000 Ca
0.0000 0.5000 0.5000 Ca
0.2500 0.2500 0.2500 Ca
0.2500 0.7500 0.7500 Ca
0.5000 0.0000 0.5000 Ca
0.5000 0.5000 0.0000 Ca
0.7500 0.2500 0.7500 Ca
0.7500 0.7500 0.2500 Ca
0.2500 0.2500 0.7500 Hg
0.2500 0.7500 0.2500 Hg
0.7500 0.2500 0.2500 Hg
0.7500 0.7500 0.7500 Hg
0.0000 0.0000 0.5000 Pb
0.0000 0.5000 0.0000 Pb
0.5000 0.0000 0.0000 Pb
0.5000 0.5000 0.5000 Pb
```

Entry 3:
Density functional theory data (GGA-PBE) for a geometry-optimized Ca4Hg3Pb2 structure.

```
Ca4Hg3Pb2
1.0
5.2109 0.0000 0.0000
2.5841 4.9514 0.0000
0.1121 1.6546 10.0491
Ca Hg Pb
4 3 2
direct
0.0365 0.4158 0.3323 Ca
0.3481 0.7995 0.1095 Ca
0.6519 0.2005 0.8905 Ca
0.9635 0.5842 0.6677 Ca
0.0000 0.5000 0.0000 Hg
0.3534 0.7842 0.4313 Hg
0.6466 0.2158 0.5687 Hg
0.3044 0.9007 0.7675 Pb
0.6956 0.0993 0.2325 Pb
```

Entry 4:
Density functional theory data (GGA-PBE) for a geometry-optimized Ca2HgPb2 structure.

**E above lowest polymorph**: 1.378 eV per formula unit

```
Ca2HgPb2
1.0
6.2173 0.0000 0.0000
0.0000 6.2173 0.0000
0.0000 0.0000 9.2942
Ca Hg Pb
4 2 4
direct
0.0000 0.5000 0.2500 Ca
0.0000 0.5000 0.7500 Ca
0.5000 0.0000 0.2500 Ca
0.5000 0.0000 0.7500 Ca
0.0000 0.0000 0.0000 Hg
0.5000 0.5000 0.5000 Hg
0.0000 0.0000 0.3369 Pb
0.0000 0.0000 0.6631 Pb
0.5000 0.5000 0.1631 Pb
0.5000 0.5000 0.8369 Pb
```

Entry 5:
Density functional theory data (GGA-PBE) for a geometry-optimized Ca2HgPb structure.

```
Ca2HgPb
1.0
3.8442 0.0000 0.0000
0.0000 3.7828 0.0000
-0.0119 0.0000 7.8943
Ca Hg Pb
2 1 1
direct
0.9999 0.0000 0.2380 Ca
0.0001 0.0000 0.7620 Ca
0.5000 0.5000 0.0000 Hg
0.5000 0.5000 0.5000 Pb
```

Entry 6:
Density functional theory data (GGA-PBE) for a geometry-optimized CaHg6Pb2 structure.

**E above lowest polymorph**: 0.000 eV per formula unit

```
CaHg6Pb2
1.0
4.2582 -4.5356 0.0000
4.2582 4.5356 0.0000
-0.4170 0.0000 6.2027
Ca Hg Pb
1 6 2
direct
0.0000 0.0000 0.0000 Ca
0.1649 0.8351 0.5000 Hg
0.1668 0.5007 0.8346 Hg
0.4993 0.8332 0.1654 Hg
0.5007 0.1668 0.8346 Hg
0.8332 0.4993 0.1654 Hg
0.8351 0.1649 0.5000 Hg
0.3386 0.3386 0.3338 Pb
0.6614 0.6614 0.6662 Pb
```

Entry 7:
Density functional theory data (GGA-PBE) for a geometry-optimized Ca2Hg9Pb structure.

```
Ca2Hg9Pb
1.0
4.6750 0.0000 0.0000
0.0000 4.6750 0.0000
0.0000 0.0000 14.3579
Ca Hg Pb
2 9 1
direct
0.0000 0.0000 0.1689 Ca
0.0000 0.0000 0.8311 Ca
0.0000 0.5000 0.0000 Hg
0.0000 0.5000 0.3285 Hg
0.0000 0.5000 0.6715 Hg
0.5000 0.0000 0.0000 Hg
0.5000 0.0000 0.3285 Hg
0.5000 0.0000 0.6715 Hg
0.5000 0.5000 0.1651 Hg
0.5000 0.5000 0.5000 Hg
0.5000 0.5000 0.8349 Hg
0.0000 0.0000 0.5000 Pb
```

Entry 8:
Density functional theory data (GGA-PBE) for a geometry-optimized CaHg2Pb structure.

```
CaHg2Pb
1.0
10.7021 0.0000 0.0000
0.0000 3.7304 0.0000
-1.4227 0.0000 5.5447
Ca Hg Pb
2 4 2
direct
0.0000 0.0000 0.0000 Ca
0.5000 0.5000 0.0000 Ca
0.2460 0.5000 0.2386 Hg
0.2540 0.0000 0.7614 Hg
0.7460 0.0000 0.2386 Hg
0.7540 0.5000 0.7614 Hg
0.0000 0.5000 0.5000 Pb
0.5000 0.0000 0.5000 Pb
```

Entry 9:
Density functional theory data (GGA-PBE) for a geometry-optimized Ca2HgPb structure.

```
Ca2HgPb
1.0
12.0877 0.0000 0.0000
0.0000 3.6478 0.0000
-1.4487 0.0000 5.3974
Ca Hg Pb
4 2 2
direct
0.0000 0.0000 0.0000 Ca
0.2144 0.0000 0.6247 Ca
0.5000 0.5000 0.0000 Ca
0.7144 0.5000 0.6247 Ca
0.4754 0.0000 0.5001 Hg
0.9754 0.5000 0.5001 Hg
0.2539 0.5000 0.1492 Pb
0.7539 0.0000 0.1492 Pb
```

Entry 10:
Density functional theory data (GGA-PBE) for a geometry-optimized Ca7Hg2Pb2 structure.

```
Ca7Hg2Pb2
1.0
4.1343 -5.8289 0.0000
4.1343 5.8289 0.0000
0.0000 0.0000 8.0699
Ca Hg Pb
7 2 2
direct
0.0000 0.0000 0.0000 Ca
0.0000 0.5000 0.2782 Ca
0.0000 0.5000 0.7218 Ca
0.5000 0.0000 0.2782 Ca
0.5000 0.0000 0.7218 Ca
0.5000 0.5000 0.2385 Ca
0.5000 0.5000 0.7615 Ca
0.2843 0.7157 0.0000 Hg
0.7157 0.2843 0.0000 Hg
0.1907 0.1907 0.5000 Pb
0.8093 0.8093 0.5000 Pb
```

Entry 11:
Density functional theory data (GGA-PBE) for a geometry-optimized CaHg2Pb structure.

```
CaHg2Pb
1.0
3.8001 0.0000 0.0000
0.0000 4.8957 0.0000
-1.7269 0.0000 6.0414
Ca Hg Pb
1 2 1
direct
0.0000 0.0000 0.0000 Ca
0.5763 0.5000 0.1656 Hg
0.7127 0.0000 0.4580 Hg
0.3012 0.5000 0.6370 Pb
```

Entry 12:
Density functional theory data (GGA-PBE) for a geometry-optimized CaHg2Pb structure.

```
CaHg2Pb
1.0
6.6727 0.0000 0.0000
0.0000 11.1450 0.0000
-1.7615 0.0000 3.0607
Ca Hg Pb
2 4 2
direct
0.0000 0.0000 0.0000 Ca
0.5000 0.5000 0.0000 Ca
0.2500 0.2500 0.5000 Hg
0.2500 0.7500 0.5000 Hg
0.7500 0.2500 0.5000 Hg
0.7500 0.7500 0.5000 Hg
0.0000 0.5000 0.0000 Pb
0.5000 0.0000 0.0000 Pb
```

Entry 13:
Density functional theory data (GGA-PBE) for a geometry-optimized Ca2Hg6Pb structure.

**E above lowest polymorph**: 0.406 eV per formula unit

```
Ca2Hg6Pb
1.0
6.4151 -3.2609 0.0000
6.4151 3.2609 0.0000
-0.3507 0.0000 5.9474
Ca Hg Pb
2 6 1
direct
0.1603 0.1603 0.1702 Ca
0.8397 0.8397 0.8298 Ca
0.1383 0.6674 0.3490 Hg
0.3003 0.3003 0.6981 Hg
0.3326 0.8617 0.6510 Hg
0.6674 0.1383 0.3490 Hg
0.6997 0.6997 0.3019 Hg
0.8617 0.3326 0.6510 Hg
0.5000 0.5000 0.0000 Pb
```

Number 1: energy of formation -0.47 eV per atom. Number 2: energy of formation -0.23 eV per atom. Number 3: energy of formation -0.48 eV per atom. Number 4: energy of formation -0.16 eV per atom. Number 5: energy of formation -0.57 eV per atom. Number 6: energy of formation -0.14 eV per atom. Number 7: energy of formation -0.25 eV per atom. Number 8: energy of formation -0.32 eV per atom. Number 9: energy of formation -0.46 eV per atom. Number 10: energy of formation -0.29 eV per atom. Number 11: energy of formation -0.29 eV per atom. Number 12: energy of formation -0.24 eV per atom. Number 13: energy of formation -0.26 eV per atom.